A:
TcRhS2Cl | the Alexandria database | PBE | optimized geometry; space-group type = P4/mmm, No. 123; magnetization = 1.66 μB/cell
1.0
4.521 0.000 0.000
0.000 4.521 0.000
0.000 0.000 5.004
S Rh Tc Cl
2 1 1 1
Direct
0.000 0.500 0.000
0.500 0.000 0.000
0.500 0.500 0.500
0.000 0.000 0.000
0.000 0.000 0.500


B:
TcRhS2Cl | the Alexandria database | PBE | optimized geometry; space-group type = P4/mmm, No. 123; magnetization = 4.12 μB/cell
1.0
4.680 0.000 0.000
0.000 4.680 0.000
0.000 0.000 4.673
S Rh Tc Cl
2 1 1 1
Direct
0.000 0.500 0.000
0.500 0.000 0.000
0.000 0.000 0.000
0.500 0.500 0.500
0.000 0.000 0.500


Pick A: it beats the second-best structure by 95 meV/atom.


A:
TiRhS2Cl | the Alexandria database | PBE | optimized geometry; space-group type = P4/mmm, No. 123; magnetization = 0.09 μB/cell
1.0
4.662 0.000 0.000
0.000 4.662 0.000
0.000 0.000 4.564
S Cl Rh Ti
2 1 1 1
Direct
0.000 0.500 0.000
0.500 0.000 0.000
0.000 0.000 0.500
0.000 0.000 0.000
0.500 0.500 0.500


B:
TiRhS2Cl | the Alexandria database | PBE | optimized geometry; space-group type = P4/mmm, No. 123; magnetization = 2.00 μB/cell
1.0
-2.712 3.467 -1.707
-3.861 -2.346 1.371
0.156 2.147 4.112
S Cl Rh Ti
2 1 1 1
Direct
0.000 0.500 0.000
0.500 0.000 0.000
0.000 0.000 0.500
0.500 0.500 0.500
0.000 0.000 0.000


Pick B: it beats the second-best structure by 229 meV/atom.


A:
TiRhSCl2 | the Alexandria database | PBE | optimized geometry; space-group type = P4/mmm, No. 123; magnetization = 0.05 μB/cell
1.0
4.668 0.000 0.000
0.000 4.668 0.000
0.000 0.000 4.776
S Cl Rh Ti
1 2 1 1
Direct
0.000 0.000 0.500
0.000 0.500 0.000
0.500 0.000 0.000
0.000 0.000 0.000
0.500 0.500 0.500


B:
TiRhSCl2 | the Alexandria database | PBE | optimized geometry; space-group type = P4/mmm, No. 123; magnetization = 1.69 μB/cell
1.0
-0.477 -4.658 -0.596
3.324 0.088 -3.350
3.380 -0.773 3.334
S Cl Rh Ti
1 2 1 1
Direct
0.000 0.000 0.500
0.000 0.500 0.000
0.500 0.000 0.000
0.500 0.500 0.500
0.000 0.000 0.000


Pick B: it beats the second-best structure by 332 meV/atom.


A:
VRhS2Cl | the Alexandria database | PBE | optimized geometry; space-group type = P4/mmm, No. 123; magnetization = 2.14 μB/cell
1.0
4.671 0.000 0.000
0.000 4.671 0.000
0.000 0.000 4.636
S Cl Rh V
2 1 1 1
Direct
0.000 0.500 0.000
0.500 0.000 0.000
0.000 0.000 0.500
0.000 0.000 0.000
0.500 0.500 0.500


B:
VRhS2Cl | the Alexandria database | PBE | optimized geometry; space-group type = P4/mmm, No. 123; magnetization = 2.12 μB/cell
1.0
4.529 0.000 0.000
0.000 4.529 0.000
0.000 0.000 4.668
S Cl Rh V
2 1 1 1
Direct
0.000 0.500 0.000
0.500 0.000 0.000
0.000 0.000 0.500
0.500 0.500 0.500
0.000 0.000 0.000


Pick B: it beats the second-best structure by 105 meV/atom.


A:
YRhS2Cl | the Alexandria database | PBE | optimized geometry; space-group type = P4/mmm, No. 123; magnetization = 0.00 μB/cell
1.0
4.735 0.000 0.000
0.000 4.735 0.000
0.000 0.000 4.557
Y S Rh Cl
1 2 1 1
Direct
0.500 0.500 0.500
0.000 0.500 0.000
0.500 0.000 0.000
0.000 0.000 0.000
0.000 0.000 0.500


B:
YRhS2Cl | the Alexandria database | PBE | optimized geometry; space-group type = P4/mmm, No. 123; magnetization = 2.51 μB/cell
1.0
-4.448 -2.748 0.646
0.310 -1.674 -4.986
2.715 -4.036 1.524
Y S Rh Cl
1 2 1 1
Direct
0.000 0.000 0.000
0.000 0.500 0.000
0.500 0.000 0.000
0.500 0.500 0.500
0.000 0.000 0.500


Pick A: it beats the second-best structure by 570 meV/atom.


A:
ZnRhS2Cl | the Alexandria database | PBE | optimized geometry; space-group type = P4/mmm, No. 123; magnetization = 2.91 μB/cell
1.0
-4.349 -1.421 -0.562
1.515 -3.782 -2.158
0.216 -2.343 4.258
Zn Rh S Cl
1 1 2 1
Direct
0.000 0.000 0.000
0.500 0.500 0.500
0.000 0.500 0.000
0.500 0.000 0.000
0.000 0.000 0.500


B:
ZnRhS2Cl | the Alexandria database | PBE | optimized geometry; space-group type = P4/mmm, No. 123; magnetization = 0.00 μB/cell
1.0
-3.155 -1.832 -2.875
3.382 -2.179 -2.322
-0.449 -3.809 2.920
Zn Rh S Cl
1 1 2 1
Direct
0.500 0.500 0.500
0.000 0.000 0.000
0.000 0.500 0.000
0.500 0.000 0.000
0.000 0.000 0.500


Pick B: it beats the second-best structure by 452 meV/atom.


A:
ZrRhS2Cl | the Alexandria database | PBE | optimized geometry; space-group type = P4/mmm, No. 123; magnetization = 0.00 μB/cell
1.0
4.645 0.000 0.000
0.000 4.645 0.000
0.000 0.000 4.549
S Rh Zr Cl
2 1 1 1
Direct
0.000 0.500 0.000
0.500 0.000 0.000
0.000 0.000 0.000
0.500 0.500 0.500
0.000 0.000 0.500


B:
ZrRhS2Cl | the Alexandria database | PBE | optimized geometry; space-group type = P4/mmm, No. 123; magnetization = 1.99 μB/cell
1.0
-2.913 0.395 -4.037
0.924 -4.775 -1.134
-3.904 -1.392 2.681
S Rh Zr Cl
2 1 1 1
Direct
0.000 0.500 0.000
0.500 0.000 0.000
0.500 0.500 0.500
0.000 0.000 0.000
0.000 0.000 0.500


Pick B: it beats the second-best structure by 97 meV/atom.


A:
SbRh2Cl | the Alexandria database | PBE | optimized geometry; space-group type = C2/m, No. 12; magnetization = 0.00 μB/cell
1.0
-2.389 -0.207 3.200
-3.984 -0.283 0.208
-0.931 -6.343 0.657
Cl Rh Sb
1 2 1
Direct
0.750 0.750 0.750
0.991 0.991 0.038
0.509 0.509 0.462
0.250 0.250 0.250


B:
SbRh2Cl | the Alexandria database | PBE | optimized geometry; space-group type = Pmmm, No. 47; magnetization = 0.00 μB/cell
1.0
3.115 0.000 0.000
0.000 5.364 0.000
0.000 0.000 4.237
Cl Rh Sb
1 2 1
Direct
0.000 0.500 0.500
0.000 0.000 0.000
0.500 0.500 0.000
0.500 0.000 0.500


Pick A: it beats the second-best structure by 316 meV/atom.


A:
SbRh2Cl | the Alexandria database | PBE | optimized geometry; space-group type = I-42d, No. 122; magnetization = 0.00 μB/cell
1.0
-0.590 -3.775 -3.064
3.840 1.532 -2.626
5.888 -5.006 1.121
Sb Rh Cl
2 4 2
Direct
0.000 0.000 0.000
0.750 0.250 0.500
0.568 0.125 0.250
0.182 0.625 0.250
0.375 0.432 0.750
0.875 0.818 0.750
0.500 0.500 0.000
0.250 0.750 0.500


B:
SbRh2Cl | the Alexandria database | PBE | optimized geometry; space-group type = Imm2, No. 44; magnetization = 0.00 μB/cell
1.0
6.425 0.004 -0.001
4.445 4.639 0.001
-5.148 -2.993 2.412
Cl Rh Sb
1 2 1
Direct
0.263 0.763 0.500
0.954 0.954 0.000
0.739 0.239 0.500
0.544 0.544 0.000


C:
SbRh2Cl | the Alexandria database | PBE | optimized geometry; space-group type = F-43m, No. 216; magnetization = 0.00 μB/cell
1.0
4.621 0.000 0.000
2.310 4.002 0.000
2.310 1.334 3.773
Cl Rh Sb
1 2 1
Direct
0.500 0.500 0.500
0.000 0.000 0.000
0.250 0.250 0.250
0.750 0.750 0.750


D:
SbRh2Cl | the Alexandria database | PBE | optimized geometry; space-group type = R-3m, No. 166; magnetization = 0.00 μB/cell
1.0
7.818 0.003 0.002
7.117 3.234 0.002
7.117 1.542 2.842
Cl Rh Sb
1 2 1
Direct
0.750 0.750 0.750
0.996 0.996 0.996
0.504 0.504 0.504
0.250 0.250 0.250


Pick D: it beats the second-best structure by 132 meV/atom.


A:
SbRh2Cl | the Alexandria database | PBE | optimized geometry; space-group type = Pm, No. 6; magnetization = 0.00 μB/cell
1.0
-3.862 -2.619 0.074
1.665 -2.486 -1.083
0.881 -1.171 4.587
Cl Rh Sb
1 2 1
Direct
0.500 0.962 0.825
0.000 0.984 0.955
0.500 0.039 0.317
0.000 0.515 0.402


B:
SbRh2Cl | the Alexandria database | PBE | optimized geometry; space-group type = C2/m, No. 12; magnetization = 0.00 μB/cell
1.0
5.354 -0.003 -0.009
-2.576 4.511 -0.007
0.202 1.085 2.922
Cl Rh Sb
1 2 1
Direct
0.500 0.500 0.000
0.000 0.000 0.000
0.500 0.000 0.500
0.000 0.500 0.500


Pick A: it beats the second-best structure by 327 meV/atom.


A:
SbRh2Cl | the Alexandria database | PBE | optimized geometry; space-group type = P4mm, No. 99; magnetization = 0.00 μB/cell
1.0
3.489 0.000 0.000
0.000 3.492 0.000
0.000 0.000 5.813
Cl Rh Sb
1 2 1
Direct
0.500 0.500 0.854
0.000 0.000 0.950
0.500 0.500 0.255
0.000 0.000 0.442


B:
SbRh2Cl | the Alexandria database | PBE | optimized geometry; space-group type = R3m, No. 160; magnetization = 0.76 μB/cell
1.0
9.403 -0.042 -0.025
8.876 3.103 -0.025
8.876 1.486 2.724
Cl Rh Sb
1 2 1
Direct
0.723 0.723 0.723
0.999 0.999 0.999
0.258 0.258 0.258
0.520 0.520 0.520


Pick A: it beats the second-best structure by 151 meV/atom.


A:
SbRhCl | the Alexandria database | PBE | optimized geometry; space-group type = F-43m, No. 216; magnetization = 0.00 μB/cell
1.0
-2.000 -1.764 3.785
2.412 -2.778 2.811
1.268 1.490 4.196
Cl Rh Sb
1 1 1
Direct
0.000 0.000 0.000
0.500 0.500 0.500
0.750 0.750 0.750


B:
SbRhCl | the Alexandria database | PBE | optimized geometry; space-group type = P3m1, No. 156; magnetization = 0.00 μB/cell
1.0
-1.845 -2.768 1.827
2.562 -0.864 -2.664
3.907 -0.102 3.791
Cl Rh Sb
1 1 1
Direct
0.000 0.000 0.063
0.333 0.667 0.349
0.667 0.333 0.588


C:
SbRhCl | the Alexandria database | PBE | optimized geometry; space-group type = F-43m, No. 216; magnetization = 0.00 μB/cell
1.0
-3.005 -1.772 -2.847
1.243 -1.107 -4.183
0.305 -4.333 -1.185
Cl Rh Sb
1 1 1
Direct
0.500 0.500 0.500
0.750 0.750 0.750
0.000 0.000 0.000


D:
SbRhCl | the Alexandria database | PBE | optimized geometry; space-group type = Fmm2, No. 42; magnetization = 0.00 μB/cell
1.0
-2.238 -3.265 4.874
-2.882 -5.100 2.240
2.420 -2.030 0.862
Cl Rh Sb
1 1 1
Direct
0.029 0.029 0.971
0.675 0.675 0.325
0.296 0.296 0.704


Pick B: it beats the second-best structure by 164 meV/atom.